Material: MgCdN2
Method: DFT, meta-GGA SCAN
State: PBEsol geometry

Geometry as CIF:
```
data_MgCdN2
_chemical_formula_sum 'Mg4 Cd4 N8'
_cell_length_a 4.765
_cell_length_b 4.765
_cell_length_c 10.424
_cell_angle_alpha 90.00
_cell_angle_beta 90.00
_cell_angle_gamma 90.00
_space_group_name_H-M_alt 'I -4 2 d'
_space_group_IT_number 122
_space_group_name_Hall 'I -4 2bw'
loop_
_atom_site_label
_atom_site_type_symbol
_atom_site_fract_x
_atom_site_fract_y
_atom_site_fract_z
_atom_site_occupancy
Mg1 Mg 0.000 0.000 0.000 1
Cd1 Cd 0.000 0.000 0.500 1
N1 N 0.229 0.250 0.125 1
```

Computed properties:
Raw formation energy   0.46 eV per atom
Total moment   0.500 μB/atom
E   -13.0290 eV per atom